A plane-wave DFT calculation with PBE was carried out for a relaxed Pm3Th5P8 crystal.

a b c (Å): 8.2815 8.2815 8.2704
angles (deg): 59.96 59.96 60.00
Sites, in units of the cell vectors:
1 Pm 0.0000 0.5000 0.5000
2 Pm 0.5000 0.0000 0.5000
3 Pm 0.0000 0.0000 0.5000
4 Th 0.5000 0.5000 0.5000
5 Th 0.5000 0.5000 0.0000
6 Th 0.0000 0.5000 0.0000
7 Th 0.5000 0.0000 0.0000
8 Th 0.0000 0.0000 0.0000
9 P 0.2500 0.7490 0.7510
10 P 0.7500 0.2510 0.2490
11 P 0.2510 0.7500 0.2490
12 P 0.2508 0.2508 0.2475
13 P 0.7500 0.7500 0.2490
14 P 0.2500 0.2500 0.7510
15 P 0.7492 0.7492 0.7525
16 P 0.7490 0.2500 0.7510

Magnetic moment ... 0.000 μB per atom
Energy relative to the elements ... -1.570 eV/atom

A plane-wave DFT calculation with PBE was carried out for a relaxed PmTh3P4 crystal.

a b c (Å): 5.8521 5.8521 5.8521
angles (deg): 90.00 90.00 90.00
Sites, in units of the cell vectors:
1 P 0.5000 0.5000 0.5000
2 P 0.0000 0.0000 0.5000
3 P 0.0000 0.5000 0.0000
4 P 0.5000 0.0000 0.0000
5 Th 0.5000 0.0000 0.5000
6 Th 0.0000 0.5000 0.5000
7 Th 0.5000 0.5000 0.0000
8 Pm 0.0000 0.0000 0.0000

Magnetic moment ... 0.000 μB per atom
Energy relative to the elements ... -1.569 eV/atom

A plane-wave DFT calculation with PBE was carried out for a relaxed PmTh4P6 crystal.

a b c (Å): 8.1004 8.1004 8.1004
angles (deg): 90.37 90.37 89.63
Sites, in units of the cell vectors:
1 P 0.4354 0.8244 0.4134
2 P 0.5646 0.1756 0.5866
3 P 0.1756 0.4134 0.4354
4 P 0.9134 0.6756 0.9354
5 P 0.8244 0.5866 0.5646
6 P 0.0866 0.3244 0.0646
7 P 0.0646 0.9134 0.3244
8 P 0.5866 0.4354 0.1756
9 P 0.3244 0.9354 0.9134
10 P 0.9354 0.0866 0.6756
11 P 0.4134 0.5646 0.8244
12 P 0.6756 0.0646 0.0866
13 Pm 0.5000 0.5000 0.5000
14 Pm 0.0000 0.0000 0.0000
15 Th 0.8682 0.2500 0.3682
16 Th 0.6318 0.8682 0.7500
17 Th 0.7500 0.7500 0.2500
18 Th 0.7500 0.3682 0.8682
19 Th 0.2500 0.6318 0.1318
20 Th 0.3682 0.1318 0.2500
21 Th 0.1318 0.7500 0.6318
22 Th 0.2500 0.2500 0.7500

Magnetic moment ... 0.000 μB per atom
Energy relative to the elements ... -1.255 eV/atom

A plane-wave DFT calculation with PBE was carried out for a relaxed Pm2Th3P4 crystal.

a b c (Å): 8.7093 7.5644 7.5644
angles (deg): 80.92 89.78 89.78
Sites, in units of the cell vectors:
1 Th 0.7500 0.6196 0.3804
2 Th 0.0500 0.9719 0.7617
3 Th 0.5500 0.7617 0.9719
4 Th 0.4500 0.2383 0.0281
5 Th 0.9500 0.0281 0.2383
6 Th 0.2500 0.3804 0.6196
7 Pm 0.1234 0.5325 0.1941
8 Pm 0.8766 0.4675 0.8059
9 Pm 0.3766 0.8059 0.4675
10 Pm 0.6234 0.1941 0.5325
11 P 0.0546 0.7216 0.5048
12 P 0.9454 0.2784 0.4952
13 P 0.5546 0.5048 0.7216
14 P 0.8799 0.7429 0.0268
15 P 0.1201 0.2571 0.9732
16 P 0.6201 0.9732 0.2571
17 P 0.3799 0.0268 0.7429
18 P 0.4454 0.4952 0.2784

Magnetic moment ... 0.000 μB per atom
Energy relative to the elements ... -1.138 eV/atom

A plane-wave DFT calculation with PBE was carried out for a relaxed Pm4ThP5 crystal.

a b c (Å): 4.1393 5.8444 10.9373
angles (deg): 105.50 100.91 90.00
Sites, in units of the cell vectors:
1 Th 0.0000 0.0000 0.0000
2 P 0.4013 0.9013 0.8027
3 P 0.7998 0.2998 0.5996
4 P 0.2002 0.7002 0.4004
5 P 0.5987 0.0987 0.1973
6 P 0.0000 0.5000 0.0000
7 Pm 0.7985 0.7985 0.5970
8 Pm 0.2015 0.2015 0.4030
9 Pm 0.3982 0.3982 0.7963
10 Pm 0.6018 0.6018 0.2037

Magnetic moment ... 0.000 μB per atom
Energy relative to the elements ... -1.582 eV/atom

A plane-wave DFT calculation with PBE was carried out for a relaxed Pm3TmTh2P6 crystal.

a b c (Å): 4.1146 8.2116 9.1937
angles (deg): 103.07 102.93 90.00
Sites, in units of the cell vectors:
1 Pm 0.8338 0.1656 0.6677
2 Pm 0.5000 0.5000 0.0000
3 Pm 0.1662 0.8344 0.3323
4 Tm 0.5000 0.0000 0.0000
5 P 0.3326 0.4180 0.6652
6 P 0.9999 0.2420 0.9998
7 P 0.6635 0.0822 0.3270
8 P 0.6674 0.5820 0.3348
9 P 0.0001 0.7580 0.0002
10 P 0.3365 0.9178 0.6730
11 Th 0.8356 0.6705 0.6711
12 Th 0.1644 0.3295 0.3289

Magnetic moment ... 0.000 μB per atom
Energy relative to the elements ... -1.579 eV/atom

A plane-wave DFT calculation with PBE was carried out for a relaxed PmTm2ThP4 crystal.

a b c (Å): 4.0526 6.9801 7.0122
angles (deg): 70.49 90.00 90.00
Sites, in units of the cell vectors:
1 P 0.5000 0.7611 0.2468
2 P 0.0000 0.7606 0.7453
3 P 0.0000 0.2394 0.2547
4 P 0.5000 0.2389 0.7532
5 Pm 0.5000 0.5000 0.0000
6 Tm 0.5000 0.0000 0.5000
7 Tm 0.0000 0.0000 0.0000
8 Th 0.0000 0.5000 0.5000

Magnetic moment ... 0.000 μB per atom
Energy relative to the elements ... -1.593 eV/atom

A plane-wave DFT calculation with PBE was carried out for a relaxed Pm2ThUP4 crystal.

a b c (Å): 4.0803 7.0672 7.1022
angles (deg): 109.33 90.00 90.00
Site moments in Bohr magnetons follow the coordinates.
Sites, in units of the cell vectors:
1 U 0.0000 0.0000 0.0000  2.10
2 Th 0.5000 0.5000 0.0000  0.04
3 P 0.0000 0.7558 0.2435  -0.02
4 P 0.0000 0.2442 0.7565  -0.02
5 P 0.5000 0.2391 0.2395  -0.04
6 P 0.5000 0.7609 0.7605  -0.04
7 Pm 0.5000 0.0000 0.5000  0.02
8 Pm 0.0000 0.5000 0.5000  0.04

Magnetic moment ... 0.301 μB per atom
Energy relative to the elements ... -1.408 eV/atom

Question: What is the magnetic moment in the fourth record?
Answer: 0.000 μB per atom

Repeat the fifth record exactly.
A plane-wave DFT calculation with PBE was carried out for a relaxed Pm4ThP5 crystal.

a b c (Å): 4.1393 5.8444 10.9373
angles (deg): 105.50 100.91 90.00
Sites, in units of the cell vectors:
1 Th 0.0000 0.0000 0.0000
2 P 0.4013 0.9013 0.8027
3 P 0.7998 0.2998 0.5996
4 P 0.2002 0.7002 0.4004
5 P 0.5987 0.0987 0.1973
6 P 0.0000 0.5000 0.0000
7 Pm 0.7985 0.7985 0.5970
8 Pm 0.2015 0.2015 0.4030
9 Pm 0.3982 0.3982 0.7963
10 Pm 0.6018 0.6018 0.2037

Magnetic moment ... 0.000 μB per atom
Energy relative to the elements ... -1.582 eV/atom

Question: Among the records above, which one has the highest magnetic moment?
Answer: Pm2ThUP4